DFT (PBE with a Hubbard U) results for BaNdVO4 after structural relaxation.

The space group is P2_1/m (No. 11) and the conventional cell measures 6.128, 5.979 and 7.280 Å, with angles of 90.00, 108.58 and 90.00 degrees. The asymmetric unit holds Ba at (0.216, 0.250, 0.436), Nd at (0.314, 0.250, 0.961), V at (0.226, 0.750, 0.172), O at (0.014, 0.750, 0.922), O at (0.031, 0.750, 0.330) and O at (0.465, 0.520, 0.203).

The calculated density comes out at 5.21 g/cm³.

---

DFT (PBE with a Hubbard U) results for BaNd2WO8 after structural relaxation.

The space group is P-1 (No. 2) and the conventional cell measures 5.667, 5.689 and 7.173 Å, with angles of 81.22, 73.78 and 72.61 degrees. The asymmetric unit holds Ba at (0.000, 0.000, 0.000), Nd at (0.334, 0.428, 0.331), W at (0.000, 0.000, 0.500), O at (0.068, 0.248, 0.628), O at (0.209, 0.106, 0.257), O at (0.301, 0.741, 0.549) and O at (0.371, 0.576, 0.988).

The calculated density comes out at 5.80 g/cm³.

---

no.,total DFT energy (no corrections) (eV per formula unit)
1,-52.0
2,-89.5